1.
Computed, not measured: a relaxed structure of PmYIrI at the PBE level of DFT.

Cell: 4.1664 4.1663 8.3395 Å, 90.01 104.46 120.00°
Positions (direct):
1 Pm 0.5169 0.1562 0.6886
2 I 0.9631 0.3798 0.3576
3 Ir 0.3070 0.5513 0.8737
4 Y 0.0910 0.9434 0.0498

Symmetry   R3m
VASP energy   -6.350 eV per atom



2.
Computed, not measured: a relaxed structure of CaNiHg2 at the PBE level of DFT.

Cell: 3.4741 3.4701 6.9343 Å, 90.00 90.00 90.00°
Positions (direct):
1 Ni 0.5000 0.5000 0.2500
2 Hg 0.0000 0.0000 0.4583
3 Hg 0.0000 0.0000 0.0417
4 Ca 0.5000 0.5000 0.7500

Formation energy from the elements   -0.132 eV per atom
Symmetry   P4/mmm
VASP energy   -2.228 eV per atom



3.
Computed, not measured: a relaxed structure of Dy5SiSb2 at the PBE level of DFT.

Cell: 5.9569 6.9551 13.8660 Å, 90.00 90.00 115.36°
Positions (direct):
1 Dy 0.3629 0.7258 0.0822
2 Dy 0.0590 0.1180 0.1188
3 Dy 0.6371 0.2742 0.9178
4 Dy 0.9410 0.8820 0.8812
5 Dy 0.3130 0.6259 0.7500
6 Dy 0.0590 0.1180 0.3812
7 Dy 0.6870 0.3741 0.2500
8 Dy 0.9410 0.8820 0.6188
9 Dy 0.3629 0.7258 0.4178
10 Dy 0.6371 0.2742 0.5822
11 Sb 0.1773 0.3545 0.5708
12 Sb 0.1773 0.3545 0.9292
13 Sb 0.8227 0.6455 0.4292
14 Sb 0.8227 0.6455 0.0708
15 Si 0.2256 0.4512 0.2500
16 Si 0.7744 0.5488 0.7500

Symmetry   Cmcm
VASP energy   -5.040 eV per atom



no.,density of states at the Fermi level (states/eV/f.u.)
1,0.7
2,2.2
3,7.7